No. 1
Density functional theory data (GGA-PBE) for crystalline LiPa2RuN4 at its relaxed geometry.

a = 5.5697 Å, b = 4.8319 Å, c = 5.5698 Å
α = 64.29°, β = 51.41°, γ = 64.29°
Closest atoms and distances in Å follow each position.
Atoms (fractional coordinates):
Li (0.0000, 0.0000, 0.0000)  6 N 2.22-2.42
Pa (0.2508, 0.2508, 0.2492)  6 N 2.20-2.42
Pa (0.7508, 0.7508, 0.7492)  6 N 2.20-2.42
Ru (0.5012, 0.5012, 0.4988)  6 N 2.18-2.42
N (0.0007, 0.5016, 0.9993)  2 Pa 2.20, 2 Li 2.41-2.42, 2 Ru 2.41-2.42
N (0.2531, 0.7486, 0.2514)  1 Ru 2.18, 1 Li 2.22, 4 Pa 2.42
N (0.5016, 0.0007, 0.4984)  2 Pa 2.20, 2 Li 2.41-2.42, 2 Ru 2.41-2.42
N (0.7486, 0.2531, 0.7469)  1 Ru 2.18, 1 Li 2.22, 4 Pa 2.42

- volume (Å³/f.u.) = 103
- DOS(E_F) (states/eV/f.u.) = 2.26
- ΔE_f (raw) (eV per atom) = -1.037
- symmetry = Fmm2


No. 2
Density functional theory data (GGA-PBE) for crystalline LiPaSN at its relaxed geometry.

a = 10.2657 Å, b = 10.2657 Å, c = 10.2657 Å
α = 22.01°, β = 22.01°, γ = 22.01°
Closest atoms and distances in Å follow each position.
Atoms (fractional coordinates):
Li (0.1950, 0.1950, 0.1950)  4 S 2.40-2.51
Li (0.8050, 0.8050, 0.8050)  4 S 2.40-2.51
Pa (0.3791, 0.3791, 0.3791)  4 N 2.21-2.32
Pa (0.6209, 0.6209, 0.6209)  4 N 2.21-2.32
S (0.1113, 0.1113, 0.1113)  4 Li 2.40-2.51
S (0.8887, 0.8887, 0.8887)  4 Li 2.40-2.51
N (0.3054, 0.3054, 0.3054)  4 Pa 2.21-2.32
N (0.6946, 0.6946, 0.6946)  4 Pa 2.21-2.32

- volume (Å³/f.u.) = 67
- DOS(E_F) (states/eV/f.u.) = 1.27
- ΔE_f (raw) (eV per atom) = -1.631
- symmetry = R-3m


No. 3
Density functional theory data (GGA-PBE) for crystalline LiPa2S4N at its relaxed geometry.

a = 5.5035 Å, b = 5.5035 Å, c = 8.7470 Å
α = 103.27°, β = 103.27°, γ = 37.75°
Closest atoms and distances in Å follow each position.
Atoms (fractional coordinates):
Li (0.0000, 0.0000, 0.0000)  4 S 2.52
Pa (0.1286, 0.1286, 0.6518)  2 N 2.42, 2 S 2.67
Pa (0.8714, 0.8714, 0.3482)  2 N 2.42, 2 S 2.67
S (0.1686, 0.1686, 0.3383)  3 Pa 2.75-2.87, 1 Li 3.05, 2 N 3.08
S (0.3887, 0.3887, 0.1265)  2 Li 2.52, 2 Pa 2.67
S (0.6113, 0.6113, 0.8735)  2 Li 2.52, 2 Pa 2.67
S (0.8314, 0.8314, 0.6617)  3 Pa 2.75-2.87, 1 Li 3.05, 2 N 3.08
N (0.5000, 0.5000, 0.5000)  4 Pa 2.42

- volume (Å³/f.u.) = 157
- DOS(E_F) (states/eV/f.u.) = 0.75
- ΔE_f (raw) (eV per atom) = -1.415
- symmetry = C2/m